1.
Density functional theory data (PBE) for a relaxed Tl13Cd2 crystal.

Output
Final energy = -30.07 eV for the cell shown
Formation energy = 0.168 eV/atom
Total magnetic moment = 0.00 μB per cell

Unit cell a=8.8391 b=8.8391 c=9.7454 alpha=63.03 beta=63.03 gamma=60.00
With the nearest neighbours (Å) after each atom.
Element x y z (fractional)
Tl (0.5000, 0.5000, 0.5000)  12 Tl 3.32
Tl (0.1201, 0.5364, 0.8071)  2 Cd 3.06-3.28, 4 Tl 3.32-3.37
Tl (0.5364, 0.5364, 0.8071)  2 Cd 3.06-3.28, 4 Tl 3.32-3.37
Tl (0.5364, 0.1201, 0.8071)  2 Cd 3.06-3.28, 4 Tl 3.32-3.37
Tl (0.4636, 0.8799, 0.1929)  2 Cd 3.06-3.28, 4 Tl 3.32-3.37
Tl (0.8799, 0.4636, 0.1929)  2 Cd 3.06-3.28, 4 Tl 3.32-3.37
Tl (0.4636, 0.4636, 0.1929)  2 Cd 3.06-3.28, 4 Tl 3.32-3.37
Tl (0.1067, 0.7415, 0.4103)  8 Tl 3.23-3.57
Tl (0.7415, 0.7415, 0.4103)  8 Tl 3.23-3.57
Tl (0.7415, 0.1067, 0.4103)  8 Tl 3.23-3.57
Tl (0.2585, 0.8933, 0.5897)  8 Tl 3.23-3.57
Tl (0.8933, 0.2585, 0.5897)  8 Tl 3.23-3.57
Tl (0.2585, 0.2585, 0.5897)  8 Tl 3.23-3.57
Cd (0.7029, 0.7029, 0.8913)  6 Tl 3.06-3.28
Cd (0.2971, 0.2971, 0.1087)  6 Tl 3.06-3.28

---

2.
Density functional theory data (PBE) for a relaxed BaAc3Ir crystal.

Output
Final energy = -98.95 eV for the cell shown
Formation energy = -0.326 eV/atom
Total magnetic moment = 0.00 μB per cell

Unit cell a=7.4524 b=10.9068 c=11.0909 alpha=101.17 beta=90.00 gamma=90.00
With the nearest neighbours (Å) after each atom.
Element x y z (fractional)
Ba (0.4126, 0.4348, 0.3127)  9 Ac 4.27-4.34, 3 Ba 4.31-4.32
Ba (0.5874, 0.5652, 0.6872)  9 Ac 4.27-4.34, 3 Ba 4.31-4.32
Ba (0.9126, 0.5652, 0.1872)  9 Ac 4.27-4.34, 3 Ba 4.31-4.32
Ba (0.0874, 0.4348, 0.8128)  9 Ac 4.27-4.34, 3 Ba 4.31-4.32
Ac (0.0846, 0.9403, 0.3214)  3 Ir 3.03-3.04
Ac (0.9154, 0.0597, 0.6786)  3 Ir 3.03-3.04
Ac (0.5846, 0.0597, 0.1786)  3 Ir 3.03-3.04
Ac (0.4154, 0.9403, 0.8214)  3 Ir 3.03-3.04
Ac (0.0761, 0.1790, 0.0651)  2 Ir 2.95-2.99
Ac (0.9239, 0.8210, 0.9349)  2 Ir 2.95-2.99
Ac (0.5761, 0.8210, 0.4349)  2 Ir 2.95-2.99
Ac (0.4239, 0.1790, 0.5651)  2 Ir 2.95-2.99
Ac (0.4147, 0.6909, 0.0587)  1 Ir 2.89
Ac (0.5853, 0.3091, 0.9413)  1 Ir 2.89
Ac (0.9147, 0.3091, 0.4413)  1 Ir 2.89
Ac (0.0853, 0.6909, 0.5587)  1 Ir 2.89
Ir (0.7542, 0.0685, 0.9316)  6 Ac 2.89-3.04
Ir (0.2458, 0.9315, 0.0684)  6 Ac 2.89-3.04
Ir (0.2542, 0.9315, 0.5684)  6 Ac 2.89-3.04
Ir (0.7458, 0.0685, 0.4316)  6 Ac 2.89-3.04

---

3.
Density functional theory data (PBE) for a relaxed TeRuPt2C crystal.

Output
Final energy = -21.58 eV for the cell shown
Energy relative to the elements, uncorrected = 2428.8 meV/atom
Total magnetic moment = 0.94 μB per cell

Unit cell a=4.9167 b=4.9341 c=4.9167 alpha=90.00 beta=90.00 gamma=90.00
With the nearest neighbours (Å) after each atom.
Element x y z (fractional)
Ru (0.0000, 0.5000, 0.0000)  2 Te 2.47
C (0.5000, 0.5000, 0.5000)  4 Ru 3.48, 8 Pt 3.48
Te (0.0000, 0.0000, 0.0000)  4 Pt 2.46, 2 Ru 2.47
Pt (0.0000, 0.0000, 0.5000)  2 Te 2.46
Pt (0.5000, 0.0000, 0.0000)  2 Te 2.46

---

4.
Density functional theory data (PBE) for a relaxed ZnAgCl4 crystal.

Output
Final energy = -31.11 eV for the cell shown
Energy relative to the elements, uncorrected = -674.2 meV/atom
Total magnetic moment = 1.84 μB per cell

Unit cell a=3.8195 b=6.3558 c=12.6543 alpha=92.63 beta=90.00 gamma=90.00
With the nearest neighbours (Å) after each atom.
Element x y z (fractional)
Zn (0.5000, 0.5000, 0.5000)  6 Cl 2.38-2.61
Zn (0.0000, 0.0000, 0.0000)  6 Cl 2.38-2.61
Ag (0.0000, 0.0000, 0.5000)  4 Cl 2.49-2.55
Ag (0.5000, 0.5000, 0.0000)  4 Cl 2.49-2.55
Cl (0.5631, 0.1931, 0.3868)  1 Zn 2.38, 1 Ag 2.55
Cl (0.0631, 0.3069, 0.1132)  1 Zn 2.38, 1 Ag 2.55
Cl (0.4369, 0.8069, 0.6132)  1 Zn 2.38, 1 Ag 2.55
Cl (0.9369, 0.6931, 0.8868)  1 Zn 2.38, 1 Ag 2.55
Cl (0.9914, 0.6623, 0.3920)  1 Ag 2.49, 2 Zn 2.57-2.61
Cl (0.4914, 0.8377, 0.1080)  1 Ag 2.49, 2 Zn 2.57-2.61
Cl (0.0086, 0.3377, 0.6080)  1 Ag 2.49, 2 Zn 2.57-2.61
Cl (0.5086, 0.1623, 0.8920)  1 Ag 2.49, 2 Zn 2.57-2.61